# 1
Density functional theory data (PBE-GGA) for a relaxed SrGeBr4 crystal.

raw formation energy: -1.24 eV per atom
space-group type: Pmn2_1
total energy: -3.406 eV per atom
V: 477 Å³ per cell

Unit cell a=8.744 b=7.775 c=7.015 alpha=90.00 beta=90.00 gamma=90.00
Sites, in units of the cell vectors:
1 Sr 0.000 0.025 0.000
2 Sr 0.500 0.975 0.500
3 Ge 0.000 0.632 0.410
4 Ge 0.500 0.368 0.910
5 Br 0.000 0.299 0.303
6 Br 0.000 0.679 0.776
7 Br 0.234 0.828 0.258
8 Br 0.266 0.172 0.758
9 Br 0.500 0.321 0.276
10 Br 0.500 0.701 0.803
11 Br 0.734 0.172 0.758
12 Br 0.766 0.828 0.258

=====

# 2
Density functional theory data (PBE-GGA) for a relaxed CrSbP4 crystal.

raw formation energy: 0.70 eV per atom
space-group type: F-43m
total energy: -5.197 eV per atom
V: 103 Å³ per cell

Unit cell a=5.267 b=5.267 c=5.267 alpha=60.00 beta=60.00 gamma=60.00
Sites, in units of the cell vectors:
1 Cr 0.000 0.000 0.000
2 Sb 0.750 0.750 0.750
3 P 0.366 0.366 0.366
4 P 0.366 0.366 0.901
5 P 0.366 0.901 0.366
6 P 0.901 0.366 0.366

=====

# 3
Density functional theory data (PBE-GGA) for a relaxed NaMn3Pd crystal.

space-group type: Pm-3m
ΔE_f: 0.727 eV per atom
relative energy among the computed polymorphs: 0.0 meV/atom
total energy: -6.077 eV per atom
V: 122 Å³ per cell

Unit cell a=4.956 b=4.956 c=4.956 alpha=90.00 beta=90.00 gamma=90.00
Sites, in units of the cell vectors:
1 Na 0.000 0.000 0.000
2 Mn 0.000 0.500 0.500
3 Mn 0.500 0.000 0.500
4 Mn 0.500 0.500 0.000
5 Pd 0.500 0.500 0.500

=====

# 4
Density functional theory data (PBE-GGA) for a relaxed LiTbTlAg crystal.

space-group type: F-43m
ΔE_f: -0.281 eV per atom
relative energy among the computed polymorphs: 0.0 meV/atom
total energy: -3.221 eV per atom
V: 84 Å³ per cell

Unit cell a=4.919 b=4.919 c=4.919 alpha=60.00 beta=60.00 gamma=60.00
Sites, in units of the cell vectors:
1 Li 0.000 0.000 0.000
2 Tb 0.750 0.750 0.750
3 Tl 0.250 0.250 0.250
4 Ag 0.500 0.500 0.500

=====

no.,spin magnetization (μB/atom)
1,0.00
2,0.66
3,2.69
4,0.00